# 1
Computed, not measured: Mg2ZnCu2 after structural relaxation at the PBE level of DFT.

Summary:
* crystal system: tetragonal
* space group: P4/nmm (129)
* total moment: 0.00 Bohr magnetons per cell
* energy relative to the elements: 3.57 kcal/mol of atoms
* E: -0.175 Ry/atom

Lattice parameters (Å, degrees): 3.636 3.636 13.247 90.00 90.00 90.00
Sites, in units of the cell vectors:
Mg1 0.250 0.250 0.154
Mg2 0.250 0.750 0.500
Mg3 0.750 0.250 0.500
Mg4 0.750 0.750 0.846
Zn1 0.250 0.250 0.693
Zn2 0.750 0.750 0.307
Cu1 0.250 0.250 0.349
Cu2 0.250 0.750 0.000
Cu3 0.750 0.250 0.000
Cu4 0.750 0.750 0.651

***

# 2
Computed, not measured: MgZnCu2 after structural relaxation at the PBE level of DFT.

Summary:
* crystal system: orthorhombic
* space group: Cmcm (63)
* total moment: 0.00 Bohr magnetons per cell
* energy relative to the elements: 1.65 kcal/mol of atoms
* E: -0.198 Ry/atom

Lattice parameters (Å, degrees): 8.092 8.092 4.303 90.00 90.00 152.56
Sites, in units of the cell vectors:
Mg1 0.133 0.867 0.750
Mg2 0.867 0.133 0.250
Zn1 0.353 0.647 0.750
Zn2 0.647 0.353 0.250
Cu1 0.038 0.962 0.250
Cu2 0.249 0.751 0.250
Cu3 0.751 0.249 0.750
Cu4 0.962 0.038 0.750

***

# 3
Computed, not measured: Mg2Zn3Cu2 after structural relaxation at the PBE level of DFT.

Summary:
* crystal system: orthorhombic
* space group: Cmmm (65)
* total moment: 0.00 Bohr magnetons per cell
* E above lowest polymorph: 0.387 eV per formula unit
* energy relative to the elements: -0.50 kcal/mol of atoms
* E: -0.161 Ry/atom

Lattice parameters (Å, degrees): 12.436 12.436 3.034 90.00 90.00 166.16
Sites, in units of the cell vectors:
Mg1 0.194 0.806 0.000
Mg2 0.806 0.194 0.000
Zn1 0.068 0.932 0.000
Zn2 0.500 0.500 0.500
Zn3 0.932 0.068 0.000
Cu1 0.375 0.625 0.500
Cu2 0.625 0.375 0.500

***

# 4
Computed, not measured: MgZnCu2 after structural relaxation at the PBE level of DFT.

Summary:
* crystal system: hexagonal
* space group: P6_3/mmc (194)
* total moment: 0.00 Bohr magnetons per cell
* energy relative to the elements: -1.39 kcal/mol of atoms
* E: -0.208 Ry/atom

Lattice parameters (Å, degrees): 4.369 4.369 7.284 90.00 90.00 120.00
Sites, in units of the cell vectors:
Mg1 0.000 0.000 0.000
Mg2 0.000 0.000 0.500
Zn1 0.333 0.667 0.250
Zn2 0.667 0.333 0.750
Cu1 0.333 0.667 0.586
Cu2 0.333 0.667 0.914
Cu3 0.667 0.333 0.086
Cu4 0.667 0.333 0.414